Below is an optimized crystal structure of La2Tb3Nd8, with properties calculated at the PBE level.

Results
Volume (Å³/cell): 911.8
DFT formation energy (kJ/mol of formula units): 200
Energy relative to the lowest polymorph listed for this composition (meV per atom): 0
Fermi-level density of states (states/eV/atom): 1.676
Calculated total energy (eV per atom): -4.6010

Cell: 13.4238 11.9818 6.1958 Å, 90.00 113.80 90.00°
Last column: nearest neighbours and their distance in Å.
Space group C2/m (No. 12)
One atom of each set of equivalent atoms:
La 0.1944 0.0000 0.3484 [4 per cell]  6 Nd 3.30-3.50
Tb 0.0000 0.2411 0.0000 [4 per cell]  8 Nd 3.56-3.81, 2 La 3.91
Tb 0.0000 0.5000 0.5000 [2 per cell]  8 Nd 3.35-3.75
Nd 0.0812 0.0000 0.7671 [4 per cell]  4 Nd 3.14-3.47, 3 La 3.30-3.50
Nd 0.1408 0.5000 0.0866 [4 per cell]  1 La 3.30, 3 Tb 3.35-3.56, 2 Nd 3.47-3.49
Nd 0.1647 0.2567 0.6635 [8 per cell]  2 Nd 3.42-3.62, 2 La 3.49-3.75, 3 Tb 3.55-3.81